[1]
The following is a SCAN calculation of a PBEsol-optimized structure of CdReC2, from Alexandria.

POSCAR file:
```
CdReC2
1.0
4.953 0.000 0.000
0.000 4.953 0.000
0.000 0.000 9.423
Cd Re C
4 4 8
Cartesian
0.000 0.000 0.000
0.000 2.477 2.356
2.477 0.000 7.067
2.477 2.477 4.712
0.000 0.000 4.712
0.000 2.477 7.067
2.477 0.000 2.356
2.477 2.477 0.000
0.903 1.238 5.890
1.238 3.380 8.245
1.238 4.050 3.534
1.574 1.238 1.178
3.380 3.715 1.178
3.715 0.903 3.534
3.715 1.574 8.245
4.050 3.715 5.890
```

Output
Fermi-level density of states   8.63 states/eV/cell
Symmetry   I-42d (122)
DFT formation energy   857 meV/atom

---

[2]
The following is a SCAN calculation of a PBEsol-optimized structure of CdCS3, from Alexandria.

POSCAR file:
```
CdCS3
1.0
4.881 0.000 0.000
0.000 4.881 0.000
0.000 0.000 4.881
Cd C S
1 1 3
Cartesian
0.000 0.000 0.000
2.441 2.441 2.441
0.000 0.000 2.441
0.000 2.441 0.000
2.441 0.000 0.000
```

Output
Fermi-level density of states   4.98 states/eV/cell
Symmetry   Pm-3m (221)
Uncorrected formation energy   205.9 kJ/mol of atoms

---

[3]
The following is a SCAN calculation of a PBEsol-optimized structure of CdC2Se, from Alexandria.

POSCAR file:
```
CdC2Se
1.0
5.902 0.000 0.000
0.000 5.902 0.000
0.000 0.000 5.902
Cd C Se
4 8 4
Cartesian
0.000 0.000 0.000
0.000 2.951 2.951
2.951 0.000 2.951
2.951 2.951 0.000
1.476 1.476 1.476
1.476 1.476 4.427
1.476 4.427 1.476
1.476 4.427 4.427
4.427 1.476 1.476
4.427 1.476 4.427
4.427 4.427 1.476
4.427 4.427 4.427
0.000 0.000 2.951
0.000 2.951 0.000
2.951 0.000 0.000
2.951 2.951 2.951
```

Output
Fermi-level density of states   9.14 states/eV/cell
Symmetry   Fm-3m (225)
Uncorrected formation energy   246.3 kJ/mol of atoms

---

[4]
The following is a SCAN calculation of a PBEsol-optimized structure of Cd2CSe2, from Alexandria.

POSCAR file:
```
Cd2CSe2
1.0
4.405 0.000 0.000
0.000 4.405 0.000
0.000 0.000 12.459
Cd C Se
4 2 4
Cartesian
0.000 2.203 3.115
0.000 2.203 9.344
2.203 0.000 3.115
2.203 0.000 9.344
0.000 0.000 0.000
2.203 2.203 6.230
0.000 0.000 4.690
0.000 0.000 7.769
2.203 2.203 1.540
2.203 2.203 10.919
```

Output
Fermi-level density of states   8.17 states/eV/cell
Symmetry   I4/mmm (139)
Uncorrected formation energy   105.0 kJ/mol of atoms

---

[5]
The following is a SCAN calculation of a PBEsol-optimized structure of CdTe2CSe, from Alexandria.

POSCAR file:
```
CdTe2CSe
1.0
4.802 0.000 0.000
0.000 4.802 0.000
0.000 0.000 4.434
Cd Te C Se
1 2 1 1
Cartesian
0.000 0.000 0.000
0.000 2.401 2.217
2.401 0.000 2.217
2.401 2.401 2.217
2.401 2.401 0.000
```

Output
Fermi-level density of states   2.00 states/eV/cell
Symmetry   P4/mmm (123)
Uncorrected formation energy   90.2 kJ/mol of atoms

---

[6]
The following is a SCAN calculation of a PBEsol-optimized structure of CdSn3C, from Alexandria.

POSCAR file:
```
CdSn3C
1.0
4.774 0.000 0.000
0.000 4.774 0.000
0.000 0.000 4.774
Cd Sn C
1 3 1
Cartesian
0.000 0.000 0.000
0.000 2.387 2.387
2.387 0.000 2.387
2.387 2.387 0.000
2.387 2.387 2.387
```

Output
Fermi-level density of states   3.65 states/eV/cell
Symmetry   Pm-3m (221)
DFT formation energy   966 meV/atom

---

[7]
The following is a SCAN calculation of a PBEsol-optimized structure of SrCdTeC2, from Alexandria.

POSCAR file:
```
SrCdTeC2
1.0
4.425 0.000 0.000
0.000 4.425 0.000
0.000 0.000 6.016
Sr Cd Te C
1 1 1 2
Cartesian
0.000 0.000 0.000
2.212 2.212 0.000
0.000 0.000 3.008
0.000 2.212 3.008
2.212 0.000 3.008
```

Output
Fermi-level density of states   2.54 states/eV/cell
Symmetry   P4/mmm (123)
Uncorrected formation energy   185.0 kJ/mol of atoms

---

[8]
The following is a SCAN calculation of a PBEsol-optimized structure of Cd3TeC, from Alexandria.

POSCAR file:
```
Cd3TeC
1.0
4.649 0.000 0.000
0.000 4.649 0.000
0.000 0.000 4.649
Cd Te C
3 1 1
Cartesian
0.000 0.000 2.325
0.000 2.325 0.000
2.325 0.000 0.000
2.325 2.325 2.325
0.000 0.000 0.000
```

Output
Fermi-level density of states   0.08 states/eV/cell
Symmetry   Pm-3m (221)
Uncorrected formation energy   45.5 kJ/mol of atoms

---

[9]
The following is a SCAN calculation of a PBEsol-optimized structure of Ti3CdC, from Alexandria.

POSCAR file:
```
Ti3CdC
1.0
4.193 0.000 0.000
0.000 4.193 0.000
0.000 0.000 4.193
Ti Cd C
3 1 1
Cartesian
0.000 0.000 2.097
0.000 2.097 0.000
2.097 0.000 0.000
2.097 2.097 2.097
0.000 0.000 0.000
```

Output
Fermi-level density of states   3.02 states/eV/cell
Symmetry   Pm-3m (221)
DFT formation energy   -554 meV/atom

---

[10]
The following is a SCAN calculation of a PBEsol-optimized structure of Y2CdC, from Alexandria.

POSCAR file:
```
Y2CdC
1.0
6.827 0.000 0.000
0.000 6.827 0.000
0.000 0.000 6.827
Y Cd C
8 4 4
Cartesian
1.707 1.707 1.707
1.707 1.707 5.120
1.707 5.120 1.707
1.707 5.120 5.120
5.120 1.707 1.707
5.120 1.707 5.120
5.120 5.120 1.707
5.120 5.120 5.120
0.000 0.000 0.000
0.000 3.414 3.414
3.414 0.000 3.414
3.414 3.414 0.000
0.000 0.000 3.414
0.000 3.414 0.000
3.414 0.000 0.000
3.414 3.414 3.414
```

Output
Fermi-level density of states   10.54 states/eV/cell
Symmetry   Fm-3m (225)
DFT formation energy   467 meV/atom

---

[11]
The following is a SCAN calculation of a PBEsol-optimized structure of YCdC3, from Alexandria.

POSCAR file:
```
YCdC3
1.0
4.432 0.000 0.000
0.000 4.432 0.000
0.000 0.000 4.432
Y Cd C
1 1 3
Cartesian
0.000 0.000 0.000
2.216 2.216 2.216
0.000 0.000 2.216
0.000 2.216 0.000
2.216 0.000 0.000
```

Output
Fermi-level density of states   4.32 states/eV/cell
Symmetry   Pm-3m (221)
DFT formation energy   2646 meV/atom

---

[12]
The following is a SCAN calculation of a PBEsol-optimized structure of YCd3C, from Alexandria.

POSCAR file:
```
YCd3C
1.0
4.665 0.000 0.000
0.000 4.665 0.000
0.000 0.000 4.665
Y Cd C
1 3 1
Cartesian
0.000 0.000 0.000
0.000 2.333 2.333
2.333 0.000 2.333
2.333 2.333 0.000
2.333 2.333 2.333
```

Output
Fermi-level density of states   1.04 states/eV/cell
Symmetry   Pm-3m (221)
DFT formation energy   655 meV/atom